1.
Density functional theory data (meta-GGA SCAN) for a crystal of CsCrFe3 relaxed with PBEsol.

ρ (kg/m³): 5910
ΔH_f (0 K) (eV per atom): 2.790
Energy (eV for the cell shown): -96.63

```
5
Lattice="-1.072 3.714 2.542 0.991 -2.354 3.857 4.390 1.438 -0.250" Properties=species:S:1:pos:R:3 pbc="T T T"
Cs 0.000 0.000 0.000
Fe -0.536 1.857 1.271
Fe 2.195 0.719 -0.125
Fe 0.495 -1.177 1.929
Cr 2.154 1.399 3.075
```

***

2.
Density functional theory data (meta-GGA SCAN) for a crystal of CsCr2Ge2 relaxed with PBEsol.

ρ (kg/m³): 4946
ΔH_f (0 K) (eV per atom): 0.043
Energy (eV for the cell shown): -112.54

```
5
Lattice="4.395 0.000 0.000 0.000 4.395 0.000 -2.197 -2.197 6.643" Properties=species:S:1:pos:R:3 pbc="T T T"
Cr 0.000 2.197 3.322
Cr 2.197 0.000 3.322
Ge 2.197 2.197 2.346
Ge 0.000 0.000 4.297
Cs 0.000 0.000 0.000
```

***

3.
Density functional theory data (meta-GGA SCAN) for a crystal of Cs2CrH2 relaxed with PBEsol.

ρ (kg/m³): 3038
Energy (eV for the cell shown): -100.49

```
5
Lattice="5.916 0.000 0.000 -2.958 5.805 -0.025 0.000 3.036 5.077" Properties=species:S:1:pos:R:3 pbc="T T T"
Cs 0.000 3.661 1.257
Cs 2.958 5.179 3.796
H 0.000 4.543 4.177
H 2.958 4.298 0.876
Cr 0.000 0.000 0.000
```

***

4.
Density functional theory data (meta-GGA SCAN) for a crystal of CsSr2CrH relaxed with PBEsol.

ρ (kg/m³): 3960
Energy (eV for the cell shown): -101.96

```
5
Lattice="-0.746 -1.985 3.427 6.010 -0.926 0.772 0.407 5.254 3.132" Properties=species:S:1:pos:R:3 pbc="T T T"
Sr 0.204 2.627 1.566
Sr 3.005 -0.463 0.386
Cr -0.373 -0.993 1.713
Cs 2.836 1.171 3.665
H 0.000 0.000 0.000
```

***

5.
Density functional theory data (meta-GGA SCAN) for a crystal of Cs3CrHg relaxed with PBEsol.

ρ (kg/m³): 3259
ΔH_f (0 K) (eV per atom): 0.396
Energy (eV for the cell shown): -198.00

```
5
Lattice="-5.718 3.775 -0.993 -3.823 -5.772 0.074 -0.788 0.610 6.851" Properties=species:S:1:pos:R:3 pbc="T T T"
Cs -0.394 0.305 3.426
Cs -1.911 -2.886 0.037
Cs -2.859 1.887 -0.497
Cr -5.164 -0.694 2.966
Hg 0.000 0.000 0.000
```

***

6.
Density functional theory data (meta-GGA SCAN) for a crystal of CsCr2HgIr relaxed with PBEsol.

ρ (kg/m³): 7775
ΔH_f (0 K) (eV per atom): 2.748
Energy (eV for the cell shown): -200.10

```
5
Lattice="4.917 0.000 0.000 0.000 4.917 0.000 0.000 0.000 5.564" Properties=species:S:1:pos:R:3 pbc="T T T"
Ir 2.458 2.458 2.782
Cr 0.000 2.458 0.000
Cr 2.458 0.000 0.000
Cs 0.000 0.000 0.000
Hg 0.000 0.000 2.782
```